(1)
# TlBi3Os PBE optimized geometry
data_TlBi3Os
_chemical_formula_sum 'Tl1 Bi3 Os1'
_symmetry_space_group_name_H-M 'P m -3 m'
_symmetry_Int_Tables_number 221
_symmetry_space_group_name_Hall '-P 4 2 3'
_cell_length_a 5.410
_cell_length_b 5.410
_cell_length_c 5.410
_cell_angle_alpha 90.00
_cell_angle_beta 90.00
_cell_angle_gamma 90.00
loop_
_atom_site_label
_atom_site_type_symbol
_atom_site_fract_x
_atom_site_fract_y
_atom_site_fract_z
Tl1 Tl 0.000 0.000 0.000
Bi1 Bi 0.000 0.500 0.500
Os1 Os 0.500 0.500 0.500
# - DFT formation energy: 0.64 eV/atom
# - Total energy: -4.41 eV/atom
# - M_tot: 0.0 μB per cell
# - D(E_F): 0.90 states/eV/atom
# - Theoretical density: 10.71 g/cm3
# - Relative energy among the computed polymorphs: 0.000 eV/atom



(2)
# Tl2BiOs PBE optimized geometry
data_Tl2BiOs
_chemical_formula_sum 'Tl8 Bi4 Os4'
_symmetry_space_group_name_H-M 'I -4 2 d'
_symmetry_Int_Tables_number 122
_symmetry_space_group_name_Hall 'I -4 2bw'
_cell_length_a 4.259
_cell_length_b 4.259
_cell_length_c 21.821
_cell_angle_alpha 90.00
_cell_angle_beta 90.00
_cell_angle_gamma 90.00
loop_
_atom_site_label
_atom_site_type_symbol
_atom_site_fract_x
_atom_site_fract_y
_atom_site_fract_z
Tl1 Tl 0.237 0.250 0.125
Bi1 Bi 0.000 0.000 0.500
Os1 Os 0.000 0.000 0.000
# - DFT formation energy: 0.96 eV/atom
# - Total energy: -4.00 eV/atom
# - M_tot: 0.0 μB per cell
# - D(E_F): 0.85 states/eV/atom
# - Theoretical density: 13.56 g/cm3
# - Relative energy among the computed polymorphs: 0.000 eV/atom



(3)
# TlBi2Os PBE optimized geometry
data_TlBi2Os
_chemical_formula_sum 'Tl4 Bi8 Os4'
_symmetry_space_group_name_H-M 'I -4 2 d'
_symmetry_Int_Tables_number 122
_symmetry_space_group_name_Hall 'I -4 2bw'
_cell_length_a 6.946
_cell_length_b 6.946
_cell_length_c 12.417
_cell_angle_alpha 90.00
_cell_angle_beta 90.00
_cell_angle_gamma 90.00
loop_
_atom_site_label
_atom_site_type_symbol
_atom_site_fract_x
_atom_site_fract_y
_atom_site_fract_z
Tl1 Tl 0.000 0.000 0.000
Bi1 Bi 0.174 0.250 0.625
Os1 Os 0.000 0.000 0.500
# - DFT formation energy: 0.74 eV/atom
# - Total energy: -4.60 eV/atom
# - M_tot: 0.0 μB per cell
# - D(E_F): 0.91 states/eV/atom
# - Theoretical density: 9.01 g/cm3
# - Relative energy among the computed polymorphs: 0.000 eV/atom



(4)
# Tl2BiOs PBE optimized geometry
data_Tl2BiOs
_chemical_formula_sum 'Tl8 Bi4 Os4'
_symmetry_space_group_name_H-M 'F m -3 m'
_symmetry_Int_Tables_number 225
_symmetry_space_group_name_Hall '-F 4 2 3'
_cell_length_a 7.233
_cell_length_b 7.233
_cell_length_c 7.233
_cell_angle_alpha 90.00
_cell_angle_beta 90.00
_cell_angle_gamma 90.00
loop_
_atom_site_label
_atom_site_type_symbol
_atom_site_fract_x
_atom_site_fract_y
_atom_site_fract_z
Tl1 Tl 0.250 0.250 0.250
Bi1 Bi 0.000 0.000 0.000
Os1 Os 0.000 0.000 0.500
# - DFT formation energy: 1.02 eV/atom
# - Total energy: -3.94 eV/atom
# - M_tot: 0.0 μB per cell
# - D(E_F): 1.08 states/eV/atom
# - Theoretical density: 14.18 g/cm3
# - Relative energy among the computed polymorphs: 0.062 eV/atom



(5)
# Tm4BiOs PBE optimized geometry
data_Tm4BiOs
_chemical_formula_sum 'Tm16 Bi4 Os4'
_symmetry_space_group_name_H-M 'C 1 2/m 1'
_symmetry_Int_Tables_number 12
_cell_length_a 17.132
_cell_length_b 5.318
_cell_length_c 9.349
_cell_angle_alpha 90.00
_cell_angle_beta 107.82
_cell_angle_gamma 90.00
loop_
_symmetry_equiv_pos_as_xyz
'x,y,z'
'-x,-y,-z'
'-x,y,-z'
'x,-y,z'
'x+1/2,y+1/2,z'
'-x+1/2,-y+1/2,-z'
'-x+1/2,y+1/2,-z'
'x+1/2,-y+1/2,z'
loop_
_atom_site_label
_atom_site_type_symbol
_atom_site_fract_x
_atom_site_fract_y
_atom_site_fract_z
Tm1 Tm 0.007 0.000 0.256
Tm2 Tm 0.102 0.500 0.055
Tm3 Tm 0.199 0.000 0.911
Tm4 Tm 0.233 0.000 0.310
Bi1 Bi 0.150 0.000 0.568
Os1 Os 0.090 0.000 0.058
# - DFT formation energy: -0.15 eV/atom
# - Total energy: -5.65 eV/atom
# - M_tot: 0.0 μB per cell
# - D(E_F): 0.57 states/eV/atom
# - Theoretical density: 8.80 g/cm3
# - Relative energy among the computed polymorphs: 0.339 eV/atom



(6)
# Tm6BiOs2 PBE optimized geometry
data_Tm6BiOs2
_chemical_formula_sum 'Tm24 Bi4 Os8'
_symmetry_space_group_name_H-M 'I m m m'
_symmetry_Int_Tables_number 71
_symmetry_space_group_name_Hall '-I 2 2'
_cell_length_a 9.406
_cell_length_b 9.610
_cell_length_c 10.301
_cell_angle_alpha 90.00
_cell_angle_beta 90.00
_cell_angle_gamma 90.00
loop_
_atom_site_label
_atom_site_type_symbol
_atom_site_fract_x
_atom_site_fract_y
_atom_site_fract_z
Tm1 Tm 0.000 0.219 0.242
Tm2 Tm 0.186 0.500 0.168
Tm3 Tm 0.219 0.317 0.500
Bi1 Bi 0.000 0.000 0.000
Bi2 Bi 0.000 0.000 0.500
Os1 Os 0.000 0.335 0.000
Os2 Os 0.000 0.500 0.378
# - DFT formation energy: -0.39 eV/atom
# - Total energy: -6.30 eV/atom
# - M_tot: 0.0 μB per cell
# - D(E_F): 0.91 states/eV/atom
# - Theoretical density: 11.44 g/cm3



(7)
# Tm6BiOs PBE optimized geometry
data_Tm6BiOs
_chemical_formula_sum 'Tm18 Bi3 Os3'
_symmetry_space_group_name_H-M 'R -3'
_symmetry_Int_Tables_number 148
_symmetry_space_group_name_Hall '-R 3'
_cell_length_a 6.7705
_cell_length_b 6.7705
_cell_length_c 19.6685
_cell_angle_alpha 90.00
_cell_angle_beta 90.00
_cell_angle_gamma 120.00
loop_
_atom_site_label
_atom_site_type_symbol
_atom_site_fract_x
_atom_site_fract_y
_atom_site_fract_z
Tm1 Tm 0.0060 0.3735 0.4108
Bi1 Bi 0.0000 0.0000 0.5000
Os1 Os 0.0000 0.0000 0.0000
# - DFT formation energy: -0.10 eV/atom
# - Total energy: -5.34 eV/atom
# - M_tot: 0.0 μB per cell
# - D(E_F): 0.95 states/eV/atom
# - Theoretical density: 9.01 g/cm3



(8)
# TmBiOs PBE optimized geometry
data_TmBiOs
_chemical_formula_sum 'Tm6 Bi6 Os6'
_symmetry_space_group_name_H-M 'R -3 m'
_symmetry_Int_Tables_number 166
_symmetry_space_group_name_Hall '-R 3 2"'
_cell_length_a 4.2561
_cell_length_b 4.2561
_cell_length_c 30.8180
_cell_angle_alpha 90.00
_cell_angle_beta 90.00
_cell_angle_gamma 120.00
loop_
_atom_site_label
_atom_site_type_symbol
_atom_site_fract_x
_atom_site_fract_y
_atom_site_fract_z
Tm1 Tm 0.0000 0.0000 0.0593
Bi1 Bi 0.0000 0.0000 0.1991
Os1 Os 0.0000 0.0000 0.3334
# - DFT formation energy: -0.14 eV/atom
# - Total energy: -6.67 eV/atom
# - M_tot: 0.0 μB per cell
# - D(E_F): 1.27 states/eV/atom
# - Theoretical density: 11.71 g/cm3



(9)
# Tm5BiOs PBE optimized geometry
data_Tm5BiOs
_chemical_formula_sum 'Tm20 Bi4 Os4'
_symmetry_space_group_name_H-M 'C 1 2/c 1'
_symmetry_Int_Tables_number 15
_cell_length_a 11.823
_cell_length_b 8.595
_cell_length_c 9.735
_cell_angle_alpha 90.00
_cell_angle_beta 108.97
_cell_angle_gamma 90.00
loop_
_symmetry_equiv_pos_as_xyz
'x,y,z'
'-x,-y,-z'
'-x,y,-z+1/2'
'x,-y,z+1/2'
'x+1/2,y+1/2,z'
'-x+1/2,-y+1/2,-z'
'-x+1/2,y+1/2,-z+1/2'
'x+1/2,-y+1/2,z+1/2'
loop_
_atom_site_label
_atom_site_type_symbol
_atom_site_fract_x
_atom_site_fract_y
_atom_site_fract_z
Tm1 Tm 0.000 0.109 0.250
Tm2 Tm 0.097 0.270 0.969
Tm3 Tm 0.217 0.118 0.651
Bi1 Bi 0.000 0.463 0.250
Os1 Os 0.000 0.000 0.000
# - DFT formation energy: -0.08 eV/atom
# - Total energy: -5.43 eV/atom
# - M_tot: 0.0 μB per cell
# - D(E_F): 0.84 states/eV/atom
# - Theoretical density: 8.83 g/cm3



(10)
# Tm4BiOs PBE optimized geometry
data_Tm4BiOs
_chemical_formula_sum 'Tm16 Bi4 Os4'
_symmetry_space_group_name_H-M 'C 1 2/c 1'
_symmetry_Int_Tables_number 15
_cell_length_a 8.894
_cell_length_b 13.276
_cell_length_c 6.109
_cell_angle_alpha 90.00
_cell_angle_beta 112.66
_cell_angle_gamma 90.00
loop_
_symmetry_equiv_pos_as_xyz
'x,y,z'
'-x,-y,-z'
'-x,y,-z+1/2'
'x,-y,z+1/2'
'x+1/2,y+1/2,z'
'-x+1/2,-y+1/2,-z'
'-x+1/2,y+1/2,-z+1/2'
'x+1/2,-y+1/2,z+1/2'
loop_
_atom_site_label
_atom_site_type_symbol
_atom_site_fract_x
_atom_site_fract_y
_atom_site_fract_z
Tm1 Tm 0.108 0.166 0.065
Tm2 Tm 0.228 0.429 0.354
Bi1 Bi 0.000 0.372 0.750
Os1 Os 0.000 0.001 0.750
# - DFT formation energy: -0.49 eV/atom
# - Total energy: -5.99 eV/atom
# - M_tot: 0.0 μB per cell
# - D(E_F): 0.72 states/eV/atom
# - Theoretical density: 10.73 g/cm3
# - Relative energy among the computed polymorphs: 0.000 eV/atom



(11)
# Tm12Bi6Os PBE optimized geometry
data_Tm12Bi6Os
_chemical_formula_sum 'Tm36 Bi18 Os3'
_symmetry_space_group_name_H-M 'R -3'
_symmetry_Int_Tables_number 148
_symmetry_space_group_name_Hall '-R 3'
_cell_length_a 13.1359
_cell_length_b 13.1359
_cell_length_c 12.0461
_cell_angle_alpha 90.00
_cell_angle_beta 90.00
_cell_angle_gamma 120.00
loop_
_atom_site_label
_atom_site_type_symbol
_atom_site_fract_x
_atom_site_fract_y
_atom_site_fract_z
Tm1 Tm 0.0257 0.1778 0.3838
Tm2 Tm 0.0641 0.1877 0.8773
Bi1 Bi 0.0401 0.2890 0.6361
Os1 Os 0.0000 0.0000 0.0000
# - DFT formation energy: -0.41 eV/atom
# - Total energy: -5.05 eV/atom
# - M_tot: 0.0 μB per cell
# - D(E_F): 0.59 states/eV/atom
# - Theoretical density: 9.61 g/cm3



(12)
# Tm3Bi2Os PBE optimized geometry
data_Tm3Bi2Os
_chemical_formula_sum 'Tm6 Bi4 Os2'
_symmetry_space_group_name_H-M 'I m m m'
_symmetry_Int_Tables_number 71
_symmetry_space_group_name_Hall '-I 2 2'
_cell_length_a 3.523
_cell_length_b 6.030
_cell_length_c 15.470
_cell_angle_alpha 90.00
_cell_angle_beta 90.00
_cell_angle_gamma 90.00
loop_
_atom_site_label
_atom_site_type_symbol
_atom_site_fract_x
_atom_site_fract_y
_atom_site_fract_z
Tm1 Tm 0.000 0.000 0.000
Tm2 Tm 0.000 0.000 0.366
Bi1 Bi 0.000 0.500 0.321
Os1 Os 0.000 0.500 0.000
# - DFT formation energy: -0.30 eV/atom
# - Total energy: -5.70 eV/atom
# - M_tot: 0.0 μB per cell
# - D(E_F): 0.42 states/eV/atom
# - Theoretical density: 11.27 g/cm3



- Among the records above, which one has the lowest DFT formation energy?
  number 10



- Which value of total energy does entry 7 give?
  -5.34 eV/atom



- DFT formation energy of number 8 (TmBiOs)?
  -0.14 eV/atom